Entry 1:
Below is a relaxed structure of CsCu2F5, with properties calculated at the PBE-GGA level.

- total moment (μB per formula unit) = 1.836
- N(E_F) (states/eV/cell) = 14.1
- V (Å³ per atom) = 16.20
- crystal system = monoclinic
- E_tot (eV per atom) = -4.172

Cell: 7.244 7.459 11.455 Å, 90.00 123.13 90.00°
Atoms (fractional coordinates):
Cs  0.123  0.021  0.380
Cs  0.123  0.479  0.880
Cs  0.877  0.521  0.120
Cs  0.877  0.979  0.620
Cu  0.000  0.000  0.000
Cu  0.000  0.500  0.500
Cu  0.497  0.236  0.764
Cu  0.497  0.264  0.264
Cu  0.500  0.000  0.000
Cu  0.500  0.500  0.500
Cu  0.503  0.736  0.736
Cu  0.503  0.764  0.236
F  0.187  0.023  0.924
F  0.187  0.477  0.424
F  0.193  0.208  0.148
F  0.193  0.292  0.648
F  0.193  0.679  0.642
F  0.193  0.821  0.142
F  0.414  0.517  0.242
F  0.414  0.983  0.742
F  0.486  0.748  0.531
F  0.486  0.752  0.031
F  0.514  0.248  0.969
F  0.514  0.252  0.469
F  0.586  0.017  0.258
F  0.586  0.483  0.758
F  0.807  0.179  0.858
F  0.807  0.321  0.358
F  0.807  0.708  0.352
F  0.807  0.792  0.852
F  0.813  0.523  0.576
F  0.813  0.977  0.076

Entry 2:
Below is a relaxed structure of TmMnNi2, with properties calculated at the PBE-GGA level.

- total moment (μB per formula unit) = 3.977
- relative energy among the computed polymorphs (meV/atom) = 6
- N(E_F) (states/eV/cell) = 2.3
- V (Å³ per atom) = 15.16
- crystal system = tetragonal
- energy of formation (eV/f.u.) = -0.723
- E_tot (eV per atom) = -6.482

Cell: 4.254 4.254 3.351 Å, 90.00 90.00 90.00°
Atoms (fractional coordinates):
Tm  0.000  0.000  0.000
Mn  0.500  0.500  0.000
Ni  0.000  0.500  0.500
Ni  0.500  0.000  0.500

Entry 3:
Below is a relaxed structure of CaInTe2, with properties calculated at the PBE-GGA level.

- total moment (μB per formula unit) = 0.000
- N(E_F) (states/eV/cell) = 1.5
- V (Å³ per atom) = 39.86
- crystal system = trigonal
- E_tot (eV per atom) = -3.591

Cell: 5.433 5.433 6.238 Å, 90.00 90.00 120.00°
Atoms (fractional coordinates):
Ca  0.000  0.000  0.000
In  0.333  0.667  0.498
Te  0.000  0.000  0.500
Te  0.333  0.667  0.999

Entry 4:
Below is a relaxed structure of CsH, with properties calculated at the PBE-GGA level.

- total moment (μB per formula unit) = 0.216
- N(E_F) (states/eV/cell) = 2.4
- V (Å³ per atom) = 57.37
- crystal system = triclinic
- E_tot (eV per atom) = -2.079

Cell: 5.275 5.584 9.062 Å, 80.98 74.58 63.21°
Atoms (fractional coordinates):
Cs  0.224  0.283  0.246
Cs  0.776  0.717  0.754
H  0.469  0.575  0.487
H  0.531  0.425  0.513

Entry 5:
Below is a relaxed structure of Ac2LaNdTl2, with properties calculated at the PBE-GGA level.

- total moment (μB per formula unit) = 0.000
- N(E_F) (states/eV/cell) = 15.4
- V (Å³ per atom) = 35.47
- crystal system = orthorhombic
- energy of formation (eV/f.u.) = -1.469
- E_tot (eV per atom) = -4.019

Cell: 5.550 10.469 7.324 Å, 90.00 90.00 90.00°
Atoms (fractional coordinates):
Ac  0.000  0.049  0.000
Ac  0.000  0.951  0.500
Ac  0.500  0.178  0.296
Ac  0.500  0.822  0.796
La  0.500  0.458  0.948
La  0.500  0.542  0.448
Nd  0.000  0.325  0.664
Nd  0.000  0.675  0.164
Tl  0.000  0.366  0.198
Tl  0.000  0.634  0.698
Tl  0.500  0.160  0.761
Tl  0.500  0.840  0.261

Entry 6:
Below is a relaxed structure of LaCrRe2, with properties calculated at the PBE-GGA level.

- total moment (μB per formula unit) = 0.002
- relative energy among the computed polymorphs (meV/atom) = 153
- N(E_F) (states/eV/cell) = 4.9
- V (Å³ per atom) = 18.81
- crystal system = monoclinic
- energy of formation (eV/f.u.) = 1.987
- E_tot (eV per atom) = -9.365

Cell: 2.883 4.117 6.436 Å, 90.00 99.99 90.00°
Atoms (fractional coordinates):
La  0.000  0.000  0.000
Cr  0.200  0.500  0.675
Re  0.466  0.000  0.511
Re  0.767  0.500  0.331

Entry 7:
Below is a relaxed structure of Cs2MnAuBr6, with properties calculated at the PBE-GGA level.

- total moment (μB per formula unit) = 4.000
- N(E_F) (states/eV/cell) = 0.0
- V (Å³ per atom) = 35.91
- crystal system = tetragonal
- E_tot (eV per atom) = -3.457

Cell: 7.940 7.940 7.940 Å, 118.99 118.99 91.76°
Atoms (fractional coordinates):
Cs  0.250  0.750  0.500
Cs  0.750  0.250  0.500
Mn  0.000  0.000  0.000
Au  0.500  0.500  0.000
Br  0.215  0.215  0.429
Br  0.215  0.785  0.000
Br  0.277  0.277  0.000
Br  0.723  0.723  0.000
Br  0.785  0.215  0.000
Br  0.785  0.785  0.571

Entry 8:
Below is a relaxed structure of HgMoRh2, with properties calculated at the PBE-GGA level.

- total moment (μB per formula unit) = 0.000
- N(E_F) (states/eV/cell) = 3.5
- V (Å³ per atom) = 16.07
- crystal system = monoclinic
- energy of formation (eV/f.u.) = 0.644
- E_tot (eV per atom) = -6.298

Cell: 4.954 4.954 4.816 Å, 100.68 100.68 33.66°
Atoms (fractional coordinates):
Hg  0.000  0.000  0.000
Mo  0.762  0.762  0.309
Rh  0.244  0.244  0.771
Rh  0.499  0.499  0.493